Record 1
# Ac2GaSn4Pd3, relaxed, DFT PBE
data_Ac2GaSn4Pd3
_symmetry_space_group_name_H-M 'P 1'
_symmetry_Int_Tables_number 1
_cell_length_a 4.6698
_cell_length_b 4.6698
_cell_length_c 11.1448
_cell_angle_alpha 90.00
_cell_angle_beta 90.00
_cell_angle_gamma 90.00
loop_
_symmetry_equiv_pos_as_xyz
'x,y,z'
loop_
_atom_site_label
_atom_site_type_symbol
_atom_site_fract_x
_atom_site_fract_y
_atom_site_fract_z
_atom_site_occupancy
Ac1 Ac 0.0000 0.5000 0.7466 1
Ac2 Ac 0.5000 0.0000 0.2534 1
Pd1 Pd 0.0000 0.0000 0.5000 1
Pd2 Pd 0.0000 0.5000 0.1286 1
Pd3 Pd 0.5000 0.0000 0.8714 1
Sn1 Sn 0.5000 0.5000 0.0000 1
Sn2 Sn 0.0000 0.5000 0.3664 1
Sn3 Sn 0.0000 0.0000 0.0000 1
Sn4 Sn 0.5000 0.0000 0.6336 1
Ga1 Ga 0.5000 0.5000 0.5000 1
# VASP energy (eV/atom): -5.0264
# Energy of formation from the pure elements (eV per atom): -0.74
# Calculated volume (Å³/atom): 24.3

***

Record 2
# Rb2TaCuAu, relaxed, DFT PBE
data_Rb2TaCuAu
_symmetry_space_group_name_H-M 'P 1'
_symmetry_Int_Tables_number 1
_cell_length_a 6.3635
_cell_length_b 4.8935
_cell_length_c 6.3635
_cell_angle_alpha 90.00
_cell_angle_beta 90.00
_cell_angle_gamma 90.00
loop_
_symmetry_equiv_pos_as_xyz
'x,y,z'
loop_
_atom_site_label
_atom_site_type_symbol
_atom_site_fract_x
_atom_site_fract_y
_atom_site_fract_z
_atom_site_occupancy
Cu1 Cu 0.0000 0.0000 0.0000 1
Rb1 Rb 0.5000 0.0000 0.0000 1
Rb2 Rb 0.0000 0.0000 0.5000 1
Ta1 Ta 0.5000 0.5000 0.5000 1
Au1 Au 0.0000 0.5000 0.0000 1
# VASP energy (eV/atom): -2.8766
# Energy of formation from the pure elements (eV per atom): 1.36
# Calculated volume (Å³/atom): 39.6